No. 1
An optimized crystal structure of Dy8Ge5As, computed with PBE.

Unit cell a=7.6373 b=7.6373 c=7.6373 alpha=109.49 beta=109.43 gamma=109.49
Element x y z (fractional)
Dy (0.2581, 0.2505, 0.3753)
Dy (0.6272, 0.3828, 0.8759)
As (0.2500, 0.5000, 0.7500)
Dy (0.7555, 0.2487, 0.3728)
Ge (0.8747, 0.8759, 0.2498)
Ge (0.5000, 0.0000, 0.5000)
Dy (0.9924, 0.1172, 0.7419)
Ge (0.3739, 0.1241, 0.9988)
Dy (0.1248, 0.7495, 0.0076)
Dy (0.1241, 0.7513, 0.5068)
Ge (0.7502, 0.6249, 0.6261)
Dy (0.6247, 0.8828, 0.8752)
Dy (0.4932, 0.6172, 0.2445)
Ge (0.0012, 0.3751, 0.1253)

Calculated values
- Crystal system: tetragonal
- ρ: 8.42 g cm⁻³

***

No. 2
An optimized crystal structure of K2YRu, computed with PBE.

Unit cell a=12.9455 b=12.9455 c=12.9455 alpha=14.78 beta=14.78 gamma=14.78
Site moments in Bohr magnetons follow the coordinates.
Element x y z (fractional)
K (0.9873, 0.9873, 0.9873)  -0.01
Ru (0.2500, 0.2500, 0.2500)  1.83
Y (0.7500, 0.7500, 0.7500)  0.04
K (0.5127, 0.5127, 0.5127)  -0.01

Calculated values
- E above lowest polymorph: 762 meV/atom
- Crystal system: trigonal
- ρ: 3.62 g cm⁻³

***

| no. | energy of formation (meV per atom) |
| --- | --- |
| 1 | -929 |
| 2 | 1078 |